{"formula": "Tl2Fe2TeO6", "functional": "GGA+U", "state": "optimized geometry", "volume_a3_per_atom": 15.776, "dft_energy_ry_per_atom": -0.4074, "total_magnetization_mub_per_cell": 8.00, "lattice_angstrom": [[5.5515, -0.0477, 0.0184], [-2.7853, 4.8024, 0.0184], [-1.0199, -1.7530, 6.5279]], "species": ["O", "Tl", "O", "O", "O", "Fe", "O", "Te", "O", "Tl", "Fe"], "fractional_positions": [[0.6343, 0.9353, 0.3429], [0.1702, 0.8298, 0.0000], [0.7665, 0.7665, 0.6709], [0.2335, 0.2335, 0.3291], [0.3657, 0.0647, 0.6571], [0.3328, 0.6672, 0.5000], [0.0647, 0.3657, 0.6571], [0.0000, 0.0000, 0.5000], [0.9353, 0.6343, 0.3429], [0.8298, 0.1702, 0.0000], [0.6672, 0.3328, 0.5000]]}